The following is a DFT calculation (PBE) of crystalline Ce2SmCuSe5 at its relaxed geometry.

Values from the calculation:
Calculated density ... 6.68 g/cm³
M_tot ... 1.9 μB per formula unit
Formation energy from raw total energies ... -1.5665 eV per atom

Cell lengths 8.9647, 8.9647, 12.4660 Å; angles 90.00, 90.00, 153.83 degrees
Last column: nearest neighbours and their distance in Å.
Sites, in units of the cell vectors:
Ce 0.1115 0.8885 0.5000  7 Se 3.02-3.18
Ce 0.1172 0.8828 0.8454  8 Se 3.02-3.24
Ce 0.8828 0.1172 0.3454  8 Se 3.02-3.24
Ce 0.8885 0.1115 0.0000  7 Se 3.02-3.18
Sm 0.1776 0.8224 0.1778  6 Se 2.87-2.94
Sm 0.8224 0.1776 0.6778  6 Se 2.87-2.94
Cu 0.4478 0.5522 0.5738  4 Se 2.40-2.48
Cu 0.5522 0.4478 0.0738  4 Se 2.40-2.48
Se 0.0133 0.9867 0.1678  2 Cu 2.44
Se 0.3029 0.6971 0.8449  2 Sm 2.93, 3 Ce 3.18-3.24
Se 0.3136 0.6864 0.5082  1 Cu 2.48
Se 0.3451 0.6549 0.1714  1 Sm 2.93, 4 Ce 3.04
Se 0.4947 0.5053 0.8991  1 Cu 2.40
Se 0.5053 0.4947 0.3991  1 Cu 2.40
Se 0.6549 0.3451 0.6714  1 Sm 2.93, 4 Ce 3.04
Se 0.6864 0.3136 0.0082  1 Cu 2.48
Se 0.6971 0.3029 0.3449  2 Sm 2.93, 3 Ce 3.18-3.24
Se 0.9867 0.0133 0.6678  2 Cu 2.44